i) Below is an optimized crystal structure of HgTeN, with properties calculated at the PBE level.

Unit cell a=3.1878 b=6.4010 c=10.5677 alpha=88.02 beta=87.49 gamma=75.68
Element x y z (fractional)
1 Hg 0.1700 0.2001 0.0039
2 Hg 0.8300 0.7999 0.9961
3 Te 0.1962 0.5082 0.7930
4 Te 0.8038 0.4918 0.2070
5 N 0.4606 0.0896 0.4968
6 N 0.5394 0.9104 0.5032

Volume in Å³/cell: 208.7

ii) Below is an optimized crystal structure of HgTeN, with properties calculated at the PBE level.

Unit cell a=22.1211 b=5.5592 c=3.3155 alpha=90.00 beta=98.39 gamma=90.00
Element x y z (fractional)
1 Hg 0.2026 0.0000 0.1928
2 Hg 0.2974 0.5000 0.8072
3 Hg 0.7026 0.5000 0.1928
4 Hg 0.7974 0.0000 0.8072
5 Te 0.1648 0.5000 0.1638
6 Te 0.3352 0.0000 0.8362
7 Te 0.6648 0.0000 0.1638
8 Te 0.8352 0.5000 0.8362
9 N 0.0254 0.0000 0.5236
10 N 0.4746 0.5000 0.4764
11 N 0.5254 0.5000 0.5236
12 N 0.9746 0.0000 0.4764

Volume in Å³/cell: 403.4

Short version: i) is the least stable of them.

i) Below is an optimized crystal structure of Hg2TeN, with properties calculated at the PBE level.

Unit cell a=7.2386 b=7.2386 c=7.2386 alpha=90.00 beta=90.00 gamma=90.00
Element x y z (fractional)
1 Hg 0.2500 0.2500 0.2500
2 Hg 0.2500 0.2500 0.7500
3 Hg 0.2500 0.7500 0.2500
4 Hg 0.2500 0.7500 0.7500
5 Hg 0.7500 0.2500 0.2500
6 Hg 0.7500 0.2500 0.7500
7 Hg 0.7500 0.7500 0.2500
8 Hg 0.7500 0.7500 0.7500
9 Te 0.0000 0.0000 0.0000
10 Te 0.0000 0.5000 0.5000
11 Te 0.5000 0.0000 0.5000
12 Te 0.5000 0.5000 0.0000
13 N 0.0000 0.0000 0.5000
14 N 0.0000 0.5000 0.0000
15 N 0.5000 0.0000 0.0000
16 N 0.5000 0.5000 0.5000

Volume in Å³/cell: 379.3

ii) Below is an optimized crystal structure of Hg2TeN, with properties calculated at the PBE level.

Unit cell a=6.0379 b=6.0379 c=11.1233 alpha=90.00 beta=90.00 gamma=90.00
Element x y z (fractional)
1 Hg 0.1360 0.2500 0.1250
2 Hg 0.2500 0.6360 0.3750
3 Hg 0.2500 0.8640 0.8750
4 Hg 0.3640 0.2500 0.6250
5 Hg 0.6360 0.7500 0.6250
6 Hg 0.7500 0.1360 0.8750
7 Hg 0.7500 0.3640 0.3750
8 Hg 0.8640 0.7500 0.1250
9 Te 0.0000 0.0000 0.5000
10 Te 0.0000 0.5000 0.7500
11 Te 0.5000 0.0000 0.2500
12 Te 0.5000 0.5000 0.0000
13 N 0.0000 0.0000 0.0000
14 N 0.0000 0.5000 0.2500
15 N 0.5000 0.0000 0.7500
16 N 0.5000 0.5000 0.5000

Volume in Å³/cell: 405.5

Short version: i) is the least stable of them.

i) Below is an optimized crystal structure of TlHgTe2N, with properties calculated at the PBE level.

Unit cell a=6.0250 b=6.0250 c=4.2497 alpha=90.00 beta=90.00 gamma=90.00
Element x y z (fractional)
1 Tl 0.0000 0.0000 0.0000
2 Hg 0.5000 0.5000 0.5000
3 Te 0.0000 0.5000 0.0000
4 Te 0.5000 0.0000 0.0000
5 N 0.0000 0.0000 0.5000

Volume in Å³/cell: 154.3

ii) Below is an optimized crystal structure of TlHgTe2N, with properties calculated at the PBE level.

Unit cell a=6.0785 b=6.0785 c=4.0584 alpha=90.00 beta=90.00 gamma=90.00
Element x y z (fractional)
1 Tl 0.0000 0.0000 0.0000
2 Hg 0.5000 0.5000 0.5000
3 Te 0.0000 0.5000 0.5000
4 Te 0.5000 0.0000 0.5000
5 N 0.5000 0.5000 0.0000

Volume in Å³/cell: 149.9

Short version: i) is the least stable of them.

i) Below is an optimized crystal structure of VHgTeN2, with properties calculated at the PBE level.

Unit cell a=4.0638 b=4.0638 c=6.1518 alpha=90.00 beta=90.00 gamma=90.00
Element x y z (fractional)
1 V 0.0000 0.0000 0.0000
2 Hg 0.5000 0.5000 0.5000
3 Te 0.5000 0.5000 0.0000
4 N 0.0000 0.5000 0.5000
5 N 0.5000 0.0000 0.5000

Volume in Å³/cell: 101.6

ii) Below is an optimized crystal structure of VHgTeN2, with properties calculated at the PBE level.

Unit cell a=3.9066 b=3.9066 c=5.7303 alpha=90.00 beta=90.00 gamma=90.00
Element x y z (fractional)
1 V 0.0000 0.0000 0.0000
2 Hg 0.5000 0.5000 0.5000
3 Te 0.0000 0.0000 0.5000
4 N 0.0000 0.5000 0.0000
5 N 0.5000 0.0000 0.0000

Volume in Å³/cell: 87.5

Short version: i) is the least stable of them.

i) Below is an optimized crystal structure of VHgTe2N, with properties calculated at the PBE level.

Unit cell a=5.5151 b=5.5151 c=3.6439 alpha=90.00 beta=90.00 gamma=90.00
Element x y z (fractional)
1 V 0.0000 0.0000 0.0000
2 Hg 0.5000 0.5000 0.5000
3 Te 0.0000 0.5000 0.0000
4 Te 0.5000 0.0000 0.0000
5 N 0.0000 0.0000 0.5000

Volume in Å³/cell: 110.8

ii) Below is an optimized crystal structure of VHgTe2N, with properties calculated at the PBE level.

Unit cell a=5.7459 b=5.7459 c=4.0325 alpha=90.00 beta=90.00 gamma=90.00
Element x y z (fractional)
1 V 0.0000 0.0000 0.0000
2 Hg 0.5000 0.5000 0.5000
3 Te 0.0000 0.5000 0.5000
4 Te 0.5000 0.0000 0.5000
5 N 0.5000 0.5000 0.0000

Volume in Å³/cell: 133.1

Short version: ii) is the least stable of them.

i) Below is an optimized crystal structure of HgTe2WN, with properties calculated at the PBE level.

Unit cell a=5.6679 b=5.6679 c=4.0123 alpha=90.00 beta=90.00 gamma=90.00
Element x y z (fractional)
1 Hg 0.0000 0.0000 0.0000
2 Te 0.0000 0.5000 0.0000
3 Te 0.5000 0.0000 0.0000
4 W 0.5000 0.5000 0.5000
5 N 0.0000 0.0000 0.5000

Volume in Å³/cell: 128.9

ii) Below is an optimized crystal structure of HgTe2WN, with properties calculated at the PBE level.

Unit cell a=5.5061 b=5.5061 c=3.8470 alpha=90.00 beta=90.00 gamma=90.00
Element x y z (fractional)
1 Hg 0.0000 0.0000 0.0000
2 Te 0.0000 0.5000 0.5000
3 Te 0.5000 0.0000 0.5000
4 W 0.5000 0.5000 0.5000
5 N 0.5000 0.5000 0.0000

Volume in Å³/cell: 116.6

Short version: i) is the least stable of them.

i) Below is an optimized crystal structure of HgTeWN2, with properties calculated at the PBE level.

Unit cell a=4.0862 b=4.0862 c=5.8235 alpha=90.00 beta=90.00 gamma=90.00
Element x y z (fractional)
1 Hg 0.0000 0.0000 0.0000
2 Te 0.0000 0.0000 0.5000
3 W 0.5000 0.5000 0.5000
4 N 0.0000 0.5000 0.0000
5 N 0.5000 0.0000 0.0000

Volume in Å³/cell: 97.2

ii) Below is an optimized crystal structure of HgTeWN2, with properties calculated at the PBE level.

Unit cell a=3.9913 b=3.9913 c=5.7765 alpha=90.00 beta=90.00 gamma=90.00
Element x y z (fractional)
1 Hg 0.0000 0.0000 0.0000
2 Te 0.5000 0.5000 0.0000
3 W 0.5000 0.5000 0.5000
4 N 0.0000 0.5000 0.5000
5 N 0.5000 0.0000 0.5000

Volume in Å³/cell: 92.0

Short version: i) is the least stable of them.

i) Below is an optimized crystal structure of YHgTe2N, with properties calculated at the PBE level.

Unit cell a=6.1736 b=6.1736 c=4.0652 alpha=90.00 beta=90.00 gamma=90.00
Element x y z (fractional)
1 Y 0.0000 0.0000 0.0000
2 Hg 0.5000 0.5000 0.5000
3 Te 0.0000 0.5000 0.0000
4 Te 0.5000 0.0000 0.0000
5 N 0.0000 0.0000 0.5000

Volume in Å³/cell: 154.9

ii) Below is an optimized crystal structure of YHgTe2N, with properties calculated at the PBE level.

Unit cell a=5.7204 b=5.7204 c=4.1783 alpha=90.00 beta=90.00 gamma=90.00
Element x y z (fractional)
1 Y 0.0000 0.0000 0.0000
2 Hg 0.5000 0.5000 0.5000
3 Te 0.0000 0.5000 0.5000
4 Te 0.5000 0.0000 0.5000
5 N 0.5000 0.5000 0.0000

Volume in Å³/cell: 136.7

Short version: ii) is the least stable of them.